An optimized crystal structure of Fe2ReCl2, computed with PBE.

Computed properties:
Total magnetic moment in μB per formula unit: 6.58
DFT total energy in eV/atom: -5.54
Mass density in g cm⁻³: 7.6
N(E_F) in states/eV per cell: 5.9

```
data_Fe2ReCl2
_chemical_formula_sum 'Fe2 Re1 Cl2'
_cell_length_a 6.1836
_cell_length_b 6.1836
_cell_length_c 6.1836
_cell_angle_alpha 144.21
_cell_angle_beta 144.21
_cell_angle_gamma 51.52
_symmetry_space_group_name_H-M 'P 1'
_symmetry_Int_Tables_number 1
_symmetry_space_group_name_Hall 'P 1'
loop_
_atom_site_label
_atom_site_type_symbol
_atom_site_fract_x
_atom_site_fract_y
_atom_site_fract_z
_atom_site_occupancy
Re1 Re 0.0000 0.0000 0.0000 1
Cl1 Cl 0.7500 0.2500 0.5000 1
Cl2 Cl 0.2500 0.7500 0.5000 1
Fe1 Fe 0.3965 0.3965 0.0000 1
Fe2 Fe 0.6035 0.6035 0.0000 1
```

An optimized crystal structure of FeReCl, computed with PBE.

Computed properties:
Total magnetic moment in μB per formula unit: 1.70
DFT total energy in eV/atom: -7.17
Mass density in g cm⁻³: 10.7
N(E_F) in states/eV per cell: 3.1
Polymorph energy (0 for the lowest one) in kJ/mol of atoms: 0.0

```
data_FeReCl
_chemical_formula_sum 'Fe1 Re1 Cl1'
_cell_length_a 2.8733
_cell_length_b 2.8733
_cell_length_c 6.0099
_cell_angle_alpha 90.00
_cell_angle_beta 90.00
_cell_angle_gamma 120.00
_symmetry_space_group_name_H-M 'P 1'
_symmetry_Int_Tables_number 1
_symmetry_space_group_name_Hall 'P 1'
loop_
_atom_site_label
_atom_site_type_symbol
_atom_site_fract_x
_atom_site_fract_y
_atom_site_fract_z
_atom_site_occupancy
Re1 Re 0.3333 0.6667 0.6432 1
Fe1 Fe 0.6667 0.3333 0.3310 1
Cl1 Cl 0.0000 0.0000 0.0258 1
```

An optimized crystal structure of FeReCl, computed with PBE.

Computed properties:
Total magnetic moment in μB per formula unit: 0.55
DFT total energy in eV/atom: -7.01
Mass density in g cm⁻³: 10.4
N(E_F) in states/eV per cell: 2.8
Polymorph energy (0 for the lowest one) in kJ/mol of atoms: 15.1

```
data_FeReCl
_chemical_formula_sum 'Fe1 Re1 Cl1'
_cell_length_a 5.8508
_cell_length_b 5.8508
_cell_length_c 5.8508
_cell_angle_alpha 151.92
_cell_angle_beta 151.92
_cell_angle_gamma 40.13
_symmetry_space_group_name_H-M 'P 1'
_symmetry_Int_Tables_number 1
_symmetry_space_group_name_Hall 'P 1'
loop_
_atom_site_label
_atom_site_type_symbol
_atom_site_fract_x
_atom_site_fract_y
_atom_site_fract_z
_atom_site_occupancy
Cl1 Cl 0.9930 0.9930 0.0000 1
Re1 Re 0.3185 0.3185 0.0000 1
Fe1 Fe 0.6885 0.6885 0.0000 1
```